Here is an optimized crystal structure of HoTmPu2N4 from Alexandria via LeMat-Bulk. Energies are from GGA-PBE.

Computed properties:
- M_tot: 9.6 μB per cell
- DFT total energy: -10.38 eV/atom

Lattice parameters (Å, degrees): 5.9587 3.4619 5.9978 90.00 109.59 90.00
Closest atoms and distances in Å follow each position.
Space group P2/m (No. 10)
Symmetry-distinct sites (fractional):
Ho1 0.0000 0.0000 0.0000 [1 per cell]  6 N 2.46
Tm1 0.0000 0.5000 0.5000 [1 per cell]  6 N 2.44
Pu1 0.5000 0.0000 0.5000 [1 per cell]  6 N 2.42
Pu2 0.5000 0.5000 0.0000 [1 per cell]  6 N 2.44
N1 0.2523 0.0000 0.7486 [2 per cell]  3 Pu 2.42-2.44, 2 Tm 2.44, 1 Ho 2.46
N2 0.2539 0.5000 0.2536 [2 per cell]  3 Pu 2.42-2.44, 1 Tm 2.44, 2 Ho 2.46

Here is an optimized crystal structure of Ho2TmPuN4 from Alexandria via LeMat-Bulk. Energies are from GGA-PBE.

Computed properties:
- M_tot: 4.7 μB per cell
- DFT total energy: -9.28 eV/atom

Lattice parameters (Å, degrees): 5.9493 3.4506 5.9504 90.00 109.37 90.00
Closest atoms and distances in Å follow each position.
Space group P2/m (No. 10)
Symmetry-distinct sites (fractional):
Ho1 0.0000 0.0000 0.0000 [1 per cell]  6 N 2.46
Ho2 0.5000 0.5000 0.0000 [1 per cell]  6 N 2.44-2.45
Tm1 0.0000 0.5000 0.5000 [1 per cell]  6 N 2.42-2.43
Pu1 0.5000 0.0000 0.5000 [1 per cell]  6 N 2.40-2.41
N1 0.2506 0.0000 0.7449 [2 per cell]  1 Pu 2.40, 2 Tm 2.43, 3 Ho 2.45-2.46
N2 0.2531 0.5000 0.2556 [2 per cell]  2 Pu 2.41, 1 Tm 2.42, 3 Ho 2.44-2.46

Here is an optimized crystal structure of Ho2Pu3UN6 from Alexandria via LeMat-Bulk. Energies are from GGA-PBE.

Computed properties:
- M_tot: 32.6 μB per cell
- DFT total energy: -10.89 eV/atom

Lattice parameters (Å, degrees): 6.0013 10.3909 6.0140 90.00 109.44 90.00
Closest atoms and distances in Å follow each position.
Space group C2/m (No. 12)
Symmetry-distinct sites (fractional):
Ho1 0.0000 0.1663 0.0000 [4 per cell]  6 N 2.45-2.46
Pu1 0.0000 0.0000 0.5000 [2 per cell]  6 N 2.45-2.55
Pu2 0.0000 0.3306 0.5000 [4 per cell]  6 N 2.46-2.54
U1 0.0000 0.5000 0.0000 [2 per cell]  6 N 2.35
N1 0.2394 0.3403 0.2392 [8 per cell]  1 U 2.35, 2 Ho 2.45, 3 Pu 2.45-2.54
N2 0.2387 0.5000 0.7589 [4 per cell]  1 U 2.35, 2 Ho 2.46, 3 Pu 2.47-2.55

Here is an optimized crystal structure of HoPu2UN4 from Alexandria via LeMat-Bulk. Energies are from GGA-PBE.

Computed properties:
- M_tot: 11.2 μB per cell
- DFT total energy: -11.13 eV/atom

Lattice parameters (Å, degrees): 5.9923 3.4728 5.9956 90.00 109.26 90.00
Closest atoms and distances in Å follow each position.
Space group P2/m (No. 10)
Symmetry-distinct sites (fractional):
Ho1 0.0000 0.0000 0.0000 [1 per cell]  6 N 2.43-2.46
Pu1 0.5000 0.0000 0.5000 [1 per cell]  6 N 2.46
Pu2 0.5000 0.5000 0.0000 [1 per cell]  6 N 2.53-2.54
U1 0.0000 0.5000 0.5000 [1 per cell]  6 N 2.35-2.39
N1 0.2340 0.0000 0.7373 [2 per cell]  2 U 2.39, 1 Ho 2.43, 3 Pu 2.46-2.53
N2 0.2398 0.5000 0.2599 [2 per cell]  1 U 2.35, 2 Ho 2.46, 3 Pu 2.46-2.54

Here is an optimized crystal structure of HoPu2VN4 from Alexandria via LeMat-Bulk. Energies are from GGA-PBE.

Computed properties:
- M_tot: 41.3 μB per cell
- DFT total energy: -10.59 eV/atom

Lattice parameters (Å, degrees): 3.3199 11.4234 11.9215 90.00 90.00 90.00
Closest atoms and distances in Å follow each position.
Space group Cmcm (No. 63)
Symmetry-distinct sites (fractional):
Ho1 0.0000 0.1006 0.2500 [4 per cell]  6 N 2.45-2.63
Pu1 0.0000 0.3668 0.0441 [8 per cell]  5 N 2.31-2.51
V1 0.0000 0.1638 0.7500 [4 per cell]  4 N 1.87-2.06
N1 0.0000 0.0000 0.0000 [4 per cell]  4 Pu 2.31
N2 0.0000 0.2705 0.6315 [8 per cell]  1 V 1.87
N3 0.0000 0.4427 0.2500 [4 per cell]  2 V 2.06

Here is an optimized crystal structure of YHo2PuN4 from Alexandria via LeMat-Bulk. Energies are from GGA-PBE.

Computed properties:
- M_tot: 4.7 μB per cell
- DFT total energy: -9.50 eV/atom

Lattice parameters (Å, degrees): 5.9824 3.4694 5.9838 90.00 109.38 90.00
Closest atoms and distances in Å follow each position.
Space group P2/m (No. 10)
Symmetry-distinct sites (fractional):
Y1 0.0000 0.0000 0.0000 [1 per cell]  6 N 2.45-2.46
Ho1 0.5000 0.0000 0.5000 [1 per cell]  6 N 2.43-2.44
Ho2 0.5000 0.5000 0.0000 [1 per cell]  6 N 2.47
Pu1 0.0000 0.5000 0.5000 [1 per cell]  6 N 2.41-2.43
N1 0.2465 0.0000 0.7447 [2 per cell]  2 Pu 2.43, 3 Ho 2.43-2.47, 1 Y 2.45
N2 0.2486 0.5000 0.2548 [2 per cell]  1 Pu 2.41, 3 Ho 2.44-2.47, 2 Y 2.46

Here is an optimized crystal structure of Y2HoPuN4 from Alexandria via LeMat-Bulk. Energies are from GGA-PBE.

Computed properties:
- M_tot: 4.7 μB per cell
- DFT total energy: -9.73 eV/atom

Lattice parameters (Å, degrees): 5.9941 3.4758 5.9962 90.00 109.37 90.00
Closest atoms and distances in Å follow each position.
Space group P2/m (No. 10)
Symmetry-distinct sites (fractional):
Y1 0.0000 0.0000 0.0000 [1 per cell]  6 N 2.49
Y2 0.5000 0.5000 0.0000 [1 per cell]  6 N 2.46
Ho1 0.0000 0.5000 0.5000 [1 per cell]  6 N 2.44-2.45
Pu1 0.5000 0.0000 0.5000 [1 per cell]  6 N 2.41-2.42
N1 0.2523 0.0000 0.7443 [2 per cell]  1 Pu 2.41, 2 Ho 2.45, 3 Y 2.46-2.49
N2 0.2558 0.5000 0.2576 [2 per cell]  2 Pu 2.42, 1 Ho 2.44, 3 Y 2.46-2.49

Here is an optimized crystal structure of HoPu2ZrN4 from Alexandria via LeMat-Bulk. Energies are from GGA-PBE.

Computed properties:
- M_tot: 9.6 μB per cell
- DFT total energy: -10.89 eV/atom

Lattice parameters (Å, degrees): 5.9004 3.4131 5.9231 90.00 109.44 90.00
Closest atoms and distances in Å follow each position.
Space group P2/m (No. 10)
Symmetry-distinct sites (fractional):
Ho1 0.0000 0.0000 0.0000 [1 per cell]  6 N 2.43
Pu1 0.5000 0.0000 0.5000 [1 per cell]  6 N 2.40
Pu2 0.5000 0.5000 0.0000 [1 per cell]  6 N 2.47-2.48
Zr1 0.0000 0.5000 0.5000 [1 per cell]  6 N 2.35-2.36
N1 0.2405 0.0000 0.7374 [2 per cell]  2 Zr 2.36, 3 Pu 2.40-2.47, 1 Ho 2.43
N2 0.2462 0.5000 0.2602 [2 per cell]  1 Zr 2.35, 3 Pu 2.40-2.48, 2 Ho 2.43

Q: Among the records above, which one has the highest DFT total energy?
A: Ho2TmPuN4

Q: Look up the DFT total energy of the third one.
A: -10.89 eV/atom